A relaxed structure of VRe2As, computed with GGA-PBE.

Energy relative to the elements: 0.530 eV/atom

Unit cell a=3.7377 b=3.7377 c=18.3348 alpha=90.00 beta=90.00 gamma=90.00
With the nearest neighbours (Å) after each atom.
Positions (direct):
V: 0.0000 0.0000 0.0000  4 As 2.64, 4 Re 2.68
V: 0.0000 0.5000 0.2500  4 As 2.64, 4 Re 2.68
V: 0.5000 0.0000 0.7500  4 As 2.64, 4 Re 2.68
V: 0.5000 0.5000 0.5000  4 As 2.64, 4 Re 2.68
Re: 0.2227 0.2500 0.6250  4 Re 2.50-2.79, 2 As 2.61, 2 V 2.68
Re: 0.2500 0.7227 0.8750  4 Re 2.50-2.79, 2 As 2.61, 2 V 2.68
Re: 0.2500 0.7773 0.3750  4 Re 2.50-2.79, 2 As 2.61, 2 V 2.68
Re: 0.2773 0.2500 0.1250  4 Re 2.50-2.79, 2 As 2.61, 2 V 2.68
Re: 0.7227 0.7500 0.1250  4 Re 2.50-2.79, 2 As 2.61, 2 V 2.68
Re: 0.7500 0.2227 0.3750  4 Re 2.50-2.79, 2 As 2.61, 2 V 2.68
Re: 0.7500 0.2773 0.8750  4 Re 2.50-2.79, 2 As 2.61, 2 V 2.68
Re: 0.7773 0.7500 0.6250  4 Re 2.50-2.79, 2 As 2.61, 2 V 2.68
As: 0.0000 0.0000 0.5000  4 Re 2.61, 4 V 2.64
As: 0.0000 0.5000 0.7500  4 Re 2.61, 4 V 2.64
As: 0.5000 0.0000 0.2500  4 Re 2.61, 4 V 2.64
As: 0.5000 0.5000 0.0000  4 Re 2.61, 4 V 2.64

A relaxed structure of SrTaCuPd2, computed with GGA-PBE.

Energy relative to the elements: 1.717 eV/atom

Unit cell a=4.9761 b=4.9761 c=4.8017 alpha=90.00 beta=90.00 gamma=90.00
With the nearest neighbours (Å) after each atom.
Positions (direct):
Sr: 0.0000 0.0000 0.0000  2 Cu 2.40, 4 Pd 2.49
Ta: 0.5000 0.5000 0.5000  8 Pd 3.46, 4 Cu 3.52
Cu: 0.0000 0.0000 0.5000  2 Sr 2.40
Pd: 0.0000 0.5000 0.0000  2 Sr 2.49
Pd: 0.5000 0.0000 0.0000  2 Sr 2.49

A relaxed structure of Ca2Al3SnPt4, computed with GGA-PBE.

Energy relative to the elements: -0.959 eV/atom

Unit cell a=4.4134 b=4.4134 c=10.2328 alpha=90.00 beta=90.00 gamma=90.00
With the nearest neighbours (Å) after each atom.
Positions (direct):
Ca: 0.0000 0.5000 0.2388  8 Pt 3.29-3.35, 7 Al 3.35-3.66, 2 Sn 3.47
Ca: 0.5000 0.0000 0.7612  8 Pt 3.29-3.35, 7 Al 3.35-3.66, 2 Sn 3.47
Al: 0.0000 0.5000 0.8812  5 Pt 2.45-2.52
Al: 0.5000 0.0000 0.1188  5 Pt 2.45-2.52
Al: 0.5000 0.5000 0.5000  4 Pt 2.64
Sn: 0.0000 0.0000 0.5000  4 Pt 2.64
Pt: 0.0000 0.0000 0.0000  4 Al 2.52
Pt: 0.0000 0.5000 0.6418  3 Al 2.45-2.64, 2 Sn 2.64
Pt: 0.5000 0.0000 0.3582  3 Al 2.45-2.64, 2 Sn 2.64
Pt: 0.5000 0.5000 0.0000  4 Al 2.52

A relaxed structure of TiSiO3, computed with GGA-PBE.

Energy relative to the elements, uncorrected: -169 kJ per mole of atoms

Unit cell a=3.8351 b=3.8351 c=3.8351 alpha=90.00 beta=90.00 gamma=90.00
With the nearest neighbours (Å) after each atom.
Positions (direct):
Ti: 0.0000 0.0000 0.0000  6 O 1.92
Si: 0.5000 0.5000 0.5000  12 O 2.71
O: 0.0000 0.0000 0.5000  2 Ti 1.92
O: 0.0000 0.5000 0.0000  2 Ti 1.92
O: 0.5000 0.0000 0.0000  2 Ti 1.92

A relaxed structure of Sr2ZnRh, computed with GGA-PBE.

Energy relative to the elements: 0.104 eV/atom

Unit cell a=8.3482 b=8.3482 c=6.4577 alpha=90.00 beta=90.00 gamma=90.00
With the nearest neighbours (Å) after each atom.
Positions (direct):
Sr: 0.2113 0.7500 0.1250  2 Rh 2.85
Sr: 0.2500 0.2113 0.8750  2 Rh 2.85
Sr: 0.2500 0.2887 0.3750  2 Rh 2.85
Sr: 0.2887 0.7500 0.6250  2 Rh 2.85
Sr: 0.7113 0.2500 0.6250  2 Rh 2.85
Sr: 0.7500 0.7113 0.3750  2 Rh 2.85
Sr: 0.7500 0.7887 0.8750  2 Rh 2.85
Sr: 0.7887 0.2500 0.1250  2 Rh 2.85
Zn: 0.0000 0.0000 0.5000  2 Rh 3.23, 4 Sr 3.29
Zn: 0.0000 0.5000 0.7500  2 Rh 3.23, 4 Sr 3.29
Zn: 0.5000 0.0000 0.2500  2 Rh 3.23, 4 Sr 3.29
Zn: 0.5000 0.5000 0.0000  2 Rh 3.23, 4 Sr 3.29
Rh: 0.0000 0.0000 0.0000  4 Sr 2.85
Rh: 0.0000 0.5000 0.2500  4 Sr 2.85
Rh: 0.5000 0.0000 0.7500  4 Sr 2.85
Rh: 0.5000 0.5000 0.5000  4 Sr 2.85

A relaxed structure of Cs3TlSe4, computed with GGA-PBE.

Energy relative to the elements, uncorrected: -76 kJ per mole of atoms

Unit cell a=5.5148 b=6.5375 c=19.4179 alpha=90.00 beta=90.00 gamma=90.00
With the nearest neighbours (Å) after each atom.
Positions (direct):
Cs: 0.0000 0.0000 0.0000  8 Se 3.84, 4 Tl 4.28
Cs: 0.0000 0.5000 0.1980  6 Se 3.69-3.74
Cs: 0.0000 0.5000 0.8020  6 Se 3.69-3.74
Cs: 0.5000 0.0000 0.3020  6 Se 3.69-3.74
Cs: 0.5000 0.0000 0.6980  6 Se 3.69-3.74
Cs: 0.5000 0.5000 0.5000  8 Se 3.84, 4 Tl 4.28
Tl: 0.0000 0.0000 0.5000  4 Se 3.14
Tl: 0.5000 0.5000 0.0000  4 Se 3.14
Se: 0.0000 0.3143 0.3776  1 Se 2.43
Se: 0.0000 0.3143 0.6224  1 Se 2.43
Se: 0.0000 0.6857 0.3776  1 Se 2.43
Se: 0.0000 0.6857 0.6224  1 Se 2.43
Se: 0.5000 0.1857 0.1224  1 Se 2.43
Se: 0.5000 0.1857 0.8776  1 Se 2.43
Se: 0.5000 0.8143 0.1224  1 Se 2.43
Se: 0.5000 0.8143 0.8776  1 Se 2.43

A relaxed structure of GaPbBr3, computed with GGA-PBE.

Energy relative to the elements, uncorrected: -36 kJ per mole of atoms

Unit cell a=5.3843 b=5.3843 c=5.3843 alpha=90.00 beta=90.00 gamma=90.00
With the nearest neighbours (Å) after each atom.
Positions (direct):
Ga: 0.0000 0.0000 0.0000  6 Br 2.69
Pb: 0.5000 0.5000 0.5000  12 Br 3.81
Br: 0.0000 0.0000 0.5000  2 Ga 2.69
Br: 0.0000 0.5000 0.0000  2 Ga 2.69
Br: 0.5000 0.0000 0.0000  2 Ga 2.69

A relaxed structure of BeAuF2, computed with GGA-PBE.

Energy relative to the elements, uncorrected: -39 kJ per mole of atoms
Energy above the most stable polymorph in this dataset: 1735.0 meV/atom

Unit cell a=5.8406 b=5.8406 c=5.8406 alpha=90.00 beta=90.00 gamma=90.00
With the nearest neighbours (Å) after each atom.
Positions (direct):
Be: 0.0000 0.0000 0.0000  8 F 2.53
Be: 0.0000 0.5000 0.5000  8 F 2.53
Be: 0.5000 0.0000 0.5000  8 F 2.53
Be: 0.5000 0.5000 0.0000  8 F 2.53
Au: 0.0000 0.0000 0.5000  8 F 2.53
Au: 0.0000 0.5000 0.0000  8 F 2.53
Au: 0.5000 0.0000 0.0000  8 F 2.53
Au: 0.5000 0.5000 0.5000  8 F 2.53
F: 0.2500 0.2500 0.2500  4 Be 2.53, 4 Au 2.53
F: 0.2500 0.2500 0.7500  4 Be 2.53, 4 Au 2.53
F: 0.2500 0.7500 0.2500  4 Be 2.53, 4 Au 2.53
F: 0.2500 0.7500 0.7500  4 Be 2.53, 4 Au 2.53
F: 0.7500 0.2500 0.2500  4 Be 2.53, 4 Au 2.53
F: 0.7500 0.2500 0.7500  4 Be 2.53, 4 Au 2.53
F: 0.7500 0.7500 0.2500  4 Be 2.53, 4 Au 2.53
F: 0.7500 0.7500 0.7500  4 Be 2.53, 4 Au 2.53

In the order shown, the computed electronic total energy values come out to -9.14; -3.89; -5.30; -7.39; -2.89; -3.15; -2.73; -3.09 eV/atom.